*one*
## ZrHgPO2 (PBE)

Data for a geometry-optimized ZrHgPO2 structure.

The value obtained for the volume is 17.0 A^3/atom. Its crystal system is tetragonal. As for the space group: P4/mmm (123).

Lattice parameters (Å, degrees): 4.132 4.132 4.990 90.00 90.00 90.00
Positions (direct):
O  0.000  0.500  0.000
O  0.500  0.000  0.000
P  0.000  0.000  0.500
Hg  0.000  0.000  0.000
Zr  0.500  0.500  0.500

---

*two*
## ZrHgPO2 (PBE)

Data for a geometry-optimized ZrHgPO2 structure.

The value obtained for the volume is 18.8 A^3/atom. Its crystal system is tetragonal. As for the space group: P4/mmm (123).

Lattice parameters (Å, degrees): 4.047 4.047 5.754 90.00 90.00 90.00
Site moments in Bohr magnetons follow the coordinates.
Positions (direct):
O  0.000  0.500  0.000  0.12
O  0.500  0.000  0.000  0.12
P  0.000  0.000  0.500  0.01
Hg  0.500  0.500  0.500  0.00
Zr  0.000  0.000  0.000  -0.03

---

Which structure is the least stable? The one labeled *one*.

---

*one*
## ZrHgP2O (PBE)

Data for a geometry-optimized ZrHgP2O structure.

The value obtained for the volume is 19.6 A^3/atom. Its crystal system is tetragonal. As for the space group: P4/mmm (123).

Lattice parameters (Å, degrees): 4.897 4.897 4.080 90.00 90.00 90.00
Positions (direct):
O  0.000  0.000  0.500
P  0.000  0.500  0.000
P  0.500  0.000  0.000
Hg  0.000  0.000  0.000
Zr  0.500  0.500  0.500

---

*two*
## ZrHgP2O (PBE)

Data for a geometry-optimized ZrHgP2O structure.

The value obtained for the volume is 22.0 A^3/atom. Its crystal system is tetragonal. As for the space group: P4/mmm (123).

Lattice parameters (Å, degrees): 5.248 5.248 3.998 90.00 90.00 90.00
Positions (direct):
O  0.000  0.000  0.500
P  0.000  0.500  0.000
P  0.500  0.000  0.000
Hg  0.500  0.500  0.500
Zr  0.000  0.000  0.000

---

Which structure is the least stable? The one labeled *one*.